[1]
The following is a DFT calculation (PBEsol) of TaTcN2 after structural relaxation.

```
TaTcN2
1.0
0.000 2.697 2.697
2.697 0.000 2.697
2.697 2.697 0.000
Ta Tc N
1 1 2
direct
0.000 0.000 0.000
0.500 0.500 0.500
0.250 0.250 0.250
0.750 0.750 0.750
```

- Uncorrected energy: -10.194 eV per atom
- Raw formation energy: 0.02 eV/atom

=====

[2]
The following is a DFT calculation (PBEsol) of TaTcTeN2 after structural relaxation.

```
TaTcTeN2
1.0
3.978 0.000 0.000
0.000 3.978 0.000
0.000 0.000 5.729
Ta Tc Te N
1 1 1 2
direct
0.000 0.000 0.000
0.500 0.500 0.500
0.000 0.000 0.500
0.000 0.500 0.000
0.500 0.000 0.000
```

- Uncorrected energy: -8.103 eV per atom
- Raw formation energy: 0.78 eV/atom

=====

[3]
The following is a DFT calculation (PBEsol) of TaTiTeN2 after structural relaxation.

```
TaTiTeN2
1.0
3.919 0.000 0.000
0.000 3.919 0.000
0.000 0.000 5.253
Ta Ti Te N
1 1 1 2
direct
0.000 0.000 0.000
0.500 0.500 0.500
0.500 0.500 0.000
0.000 0.500 0.500
0.500 0.000 0.500
```

- Uncorrected energy: -7.600 eV per atom
- Raw formation energy: 0.69 eV/atom

=====

[4]
The following is a DFT calculation (PBEsol) of YTaTe2N after structural relaxation.

```
YTaTe2N
1.0
5.705 0.000 0.000
0.000 5.705 0.000
0.000 0.000 3.979
Y Ta Te N
1 1 2 1
direct
0.000 0.000 0.000
0.500 0.500 0.500
0.000 0.500 0.000
0.500 0.000 0.000
0.000 0.000 0.500
```

- Uncorrected energy: -6.126 eV per atom
- Raw formation energy: 0.86 eV/atom

=====

[5]
The following is a DFT calculation (PBEsol) of TaTiWN2 after structural relaxation.

```
TaTiWN2
1.0
3.908 0.000 0.000
0.000 3.908 0.000
0.000 0.000 5.152
Ta Ti W N
1 1 1 2
direct
0.000 0.000 0.000
0.500 0.500 0.000
0.000 0.000 0.500
0.000 0.500 0.500
0.500 0.000 0.500
```

- Uncorrected energy: -9.428 eV per atom
- Raw formation energy: 0.92 eV/atom

=====

[6]
The following is a DFT calculation (PBEsol) of Y2TaWN after structural relaxation.

```
Y2TaWN
1.0
5.534 0.000 0.000
0.000 5.534 0.000
0.000 0.000 3.784
Y Ta W N
2 1 1 1
direct
0.000 0.500 0.000
0.500 0.000 0.000
0.000 0.000 0.500
0.500 0.500 0.000
0.500 0.500 0.500
```

- Uncorrected energy: -8.671 eV per atom
- Raw formation energy: 1.03 eV/atom

=====

[7]
The following is a DFT calculation (PBEsol) of YTaN2 after structural relaxation.

```
YTaN2
1.0
0.000 2.821 2.821
2.821 0.000 2.821
2.821 2.821 0.000
Y Ta N
1 1 2
direct
0.000 0.000 0.000
0.500 0.500 0.500
0.250 0.250 0.250
0.750 0.750 0.750
```

- Uncorrected energy: -9.668 eV per atom
- Raw formation energy: -0.56 eV/atom

=====

[8]
The following is a DFT calculation (PBEsol) of ZrTaN2 after structural relaxation.

```
ZrTaN2
1.0
1.580 0.912 5.125
-1.580 0.912 5.125
0.000 -1.824 5.125
Zr Ta N
1 1 2
direct
0.000 0.000 0.000
0.500 0.500 0.500
0.246 0.246 0.246
0.754 0.754 0.754
```

- Uncorrected energy: -11.228 eV per atom
- Raw formation energy: -1.55 eV/atom

=====

[9]
The following is a DFT calculation (PBEsol) of TbN after structural relaxation.

```
TbN
1.0
0.000 2.444 2.444
2.444 0.000 2.444
2.444 2.444 0.000
Tb N
1 1
direct
0.000 0.000 0.000
0.500 0.500 0.500
```

- Uncorrected energy: -8.599 eV per atom
- Raw formation energy: -1.83 eV/atom

=====

[10]
The following is a DFT calculation (PBEsol) of Tb3Te3N after structural relaxation.

```
Tb3Te3N
1.0
8.056 0.000 0.000
0.000 11.889 0.000
-2.888 0.000 8.030
Tb Te N
12 12 4
direct
0.099 0.020 0.357
0.099 0.480 0.857
0.269 0.708 0.162
0.269 0.792 0.662
0.344 0.090 0.795
0.344 0.410 0.295
0.656 0.590 0.705
0.656 0.910 0.205
0.731 0.208 0.338
0.731 0.292 0.838
0.901 0.520 0.143
0.901 0.980 0.643
0.010 0.235 0.686
0.010 0.265 0.186
0.269 0.522 0.577
0.269 0.978 0.077
0.453 0.186 0.511
0.453 0.314 0.011
0.547 0.686 0.989
0.547 0.814 0.489
0.731 0.022 0.923
0.731 0.478 0.423
0.990 0.735 0.814
0.990 0.765 0.314
0.174 0.534 0.123
0.174 0.966 0.623
0.826 0.034 0.377
0.826 0.466 0.877
```

- Uncorrected energy: -6.415 eV per atom
- Raw formation energy: -1.54 eV/atom